4
Lattice="-4.8559 2.6347 -1.9500 -5.2365 -1.5883 2.0930 -2.9751 3.6276 3.5090" Properties=species:S:1:pos:R:3 comment="Ba2AlTe (PBE-GGA, optimized geometry)" formation_energy_uncorrected_ev_per_atom=-0.228 total_energy_ev_per_atom=-2.911 total_magnetization_mub_per_cell=0.00 pbc="T T T"
Te -9.8006 3.5055 2.7390
Al -6.5338 2.3370 1.8260
Ba 0.0000 0.0000 0.0000
Ba -3.2669 1.1685 0.9130